No. 1
Crystalline LiTcBr at its relaxed geometry, computed with PBE-GGA.

Calculated values
The value obtained for the energy above the most stable polymorph in this dataset is 0 meV per atom. The total magnetization comes out at 0.00 μB per atom. The value obtained for the uncorrected formation energy is 0.38 eV/atom. As for the total energy: -0.314 Ry/atom.

a b c (Å): 3.077 3.077 6.295
angles (deg): 90.00 90.00 120.00
Element x y z (fractional)
Li 0.000 0.000 0.000
Tc 0.667 0.333 0.344
Br 0.333 0.667 0.646


No. 2
Crystalline PmPbAu5 at its relaxed geometry, computed with PBE-GGA.

Calculated values
As for the calculated formation energy: -0.339 eV/atom. The total magnetization comes out at 0.00 μB per atom. As for the total energy: -0.286 Ry/atom.

a b c (Å): 9.469 5.484 11.952
angles (deg): 90.00 90.00 90.00
Element x y z (fractional)
Pm 0.249 0.250 0.085
Pm 0.251 0.750 0.585
Pm 0.749 0.250 0.415
Pm 0.751 0.750 0.915
Pb 0.162 0.750 0.870
Pb 0.338 0.250 0.370
Pb 0.662 0.750 0.630
Pb 0.838 0.250 0.130
Au 0.015 0.750 0.077
Au 0.044 0.002 0.294
Au 0.044 0.498 0.294
Au 0.068 0.250 0.506
Au 0.219 0.250 0.712
Au 0.281 0.750 0.212
Au 0.432 0.750 0.006
Au 0.456 0.502 0.794
Au 0.456 0.998 0.794
Au 0.485 0.250 0.577
Au 0.515 0.750 0.423
Au 0.544 0.002 0.206
Au 0.544 0.498 0.206
Au 0.568 0.250 0.994
Au 0.719 0.250 0.788
Au 0.781 0.750 0.288
Au 0.932 0.750 0.494
Au 0.956 0.502 0.706
Au 0.956 0.998 0.706
Au 0.985 0.250 0.923


No. 3
Crystalline ScNbGa4 at its relaxed geometry, computed with PBE-GGA.

Calculated values
The value obtained for the energy above the most stable polymorph in this dataset is 193 meV per atom. As for the calculated formation energy: -0.159 eV/atom. The total magnetization comes out at 0.00 μB per atom. As for the total energy: -0.361 Ry/atom.

a b c (Å): 10.222 10.222 10.222
angles (deg): 20.75 20.75 20.75
Element x y z (fractional)
Sc 0.000 0.000 0.000
Nb 0.500 0.500 0.500
Ga 0.112 0.112 0.112
Ga 0.398 0.398 0.398
Ga 0.602 0.602 0.602
Ga 0.888 0.888 0.888


No. 4
Crystalline SbPIr2 at its relaxed geometry, computed with PBE-GGA.

Calculated values
The value obtained for the energy above the most stable polymorph in this dataset is 615 meV per atom. The total magnetization comes out at 0.00 μB per atom. The value obtained for the uncorrected formation energy is 0.34 eV/atom. As for the total energy: -0.476 Ry/atom.

a b c (Å): 5.364 5.364 5.364
angles (deg): 147.33 123.16 67.12
Element x y z (fractional)
Sb 0.000 0.000 0.000
P 0.500 0.500 0.000
Ir 0.305 0.805 0.500
Ir 0.695 0.195 0.500


No. 5
Crystalline AcNdSm at its relaxed geometry, computed with PBE-GGA.

Calculated values
The value obtained for the energy above the most stable polymorph in this dataset is 519 meV per atom. As for the calculated formation energy: 0.555 eV/atom. The total magnetization comes out at 0.00 μB per atom. As for the total energy: -0.292 Ry/atom.

a b c (Å): 7.822 7.822 7.822
angles (deg): 90.00 90.00 90.00
Element x y z (fractional)
Ac 0.131 0.369 0.631
Ac 0.369 0.631 0.131
Ac 0.631 0.131 0.369
Ac 0.869 0.869 0.869
Nd 0.178 0.178 0.178
Nd 0.322 0.822 0.678
Nd 0.678 0.322 0.822
Nd 0.822 0.678 0.322
Sm 0.049 0.951 0.451
Sm 0.451 0.049 0.951
Sm 0.549 0.549 0.549
Sm 0.951 0.451 0.049


No. 6
Crystalline Dy5Sc3In at its relaxed geometry, computed with PBE-GGA.

Calculated values
As for the calculated formation energy: 0.356 eV/atom. The total magnetization comes out at 0.00 μB per atom. As for the total energy: -0.339 Ry/atom.

a b c (Å): 9.093 9.093 9.461
angles (deg): 121.17 121.17 74.52
Element x y z (fractional)
Dy 0.105 0.613 0.464
Dy 0.227 0.227 0.219
Dy 0.242 0.758 0.000
Dy 0.245 0.245 0.895
Dy 0.387 0.895 0.536
Dy 0.613 0.105 0.464
Dy 0.755 0.755 0.105
Dy 0.758 0.242 0.000
Dy 0.773 0.773 0.781
Dy 0.895 0.387 0.536
Sc 0.000 0.000 0.500
Sc 0.023 0.023 0.213
Sc 0.482 0.482 0.322
Sc 0.500 0.500 0.000
Sc 0.518 0.518 0.678
Sc 0.977 0.977 0.787
In 0.280 0.280 0.599
In 0.720 0.720 0.401


No. 7
Crystalline CoTc2Br at its relaxed geometry, computed with PBE-GGA.

Calculated values
The value obtained for the energy above the most stable polymorph in this dataset is 235 meV per atom. The total magnetization comes out at 0.23 μB per atom. The value obtained for the uncorrected formation energy is 0.69 eV/atom. As for the total energy: -0.492 Ry/atom.

a b c (Å): 4.395 4.395 7.434
angles (deg): 119.20 119.20 39.32
Element x y z (fractional)
Co 0.000 0.000 0.000
Tc 0.226 0.226 0.853
Tc 0.774 0.774 0.147
Br 0.500 0.500 0.500


No. 8
Crystalline FeTe2Pb at its relaxed geometry, computed with PBE-GGA.

Calculated values
The total magnetization comes out at 0.40 μB per atom. The value obtained for the uncorrected formation energy is -0.01 eV/atom. As for the total energy: -0.340 Ry/atom.

a b c (Å): 3.657 3.657 9.148
angles (deg): 101.59 101.59 59.99
Element x y z (fractional)
Fe 0.000 0.000 0.000
Te 0.276 0.276 0.829
Te 0.724 0.724 0.171
Pb 0.500 0.500 0.500